No. 1
Below is ScNF2 after structural relaxation, with properties calculated at the PBE level.

Output
crystal system	tetragonal

The structure in extended XYZ format:
```
8
Lattice="-1.697 1.697 7.310 1.697 -1.697 7.310 1.697 1.697 -7.310" Properties=species:S:1:pos:R:3 pbc="T T T"
Sc 0.000 0.000 0.000
Sc 0.000 1.697 3.655
N 1.697 0.000 3.655
N 0.000 0.000 7.310
F 2.545 0.805 -1.828
F 0.805 0.848 1.828
F -0.848 0.891 5.483
F 0.891 0.848 9.138
```



No. 2
Below is BeCo2SiAg after structural relaxation, with properties calculated at the PBE level.

Output
crystal system	tetragonal

The structure in extended XYZ format:
```
5
Lattice="4.654 0.000 0.000 0.000 4.654 0.000 0.000 0.000 4.098" Properties=species:S:1:pos:R:3 pbc="T T T"
Be 0.000 0.000 0.000
Co 0.000 2.327 2.049
Co 2.327 0.000 2.049
Si 2.327 2.327 0.000
Ag 0.000 0.000 2.049
```



Per-record D(E_F), states/eV per atom: 0.03; 1.86
Per-record uncorrected formation energy, eV per atom: -1.5460; 1.5137